## DyTh2AuC (GGA-PBE)

Data for a relaxed structure of DyTh2AuC.

Lattice parameters (Å, degrees): 5.028 5.028 4.858 90.00 90.00 90.00
Space group P4/mmm (No. 123)
Asymmetric unit:
1 Dy 0.000 0.000 0.000 x1
2 Th 0.000 0.500 0.500 x2
3 Au 0.500 0.500 0.000 x1
4 C 0.000 0.000 0.500 x1

The formation energy comes out at -1.60 eV per formula unit. The density of states at the Fermi level is 5.4 states/eV/cell.